Material: BC
Method: DFT, PBE
State: relaxed

- M_tot (μB per cell) = 0.0
- distance to the lowest polymorph of the same formula (eV/f.u.) = 0.51
- space-group type = Pm

Lattice parameters (Å, degrees): 2.5873 5.0231 6.1968 106.36 90.00 90.00
Atoms (fractional coordinates):
B (0.5000, 0.8307, 0.3131)
B (0.5000, 0.4658, 0.2115)
B (0.5000, 0.5763, 0.9871)
B (0.5000, 0.1838, 0.9537)
B (0.0000, 0.2356, 0.5916)
B (0.0000, 0.3747, 0.3680)
C (0.0000, 0.6684, 0.6308)
C (0.0000, 0.0190, 0.2724)
C (0.0000, 0.0020, 0.0244)
C (0.0000, 0.6945, 0.8878)
C (0.5000, 0.1362, 0.6882)
C (0.5000, 0.8130, 0.5713)

***

Material: BC
Method: DFT, PBE
State: relaxed

- M_tot (μB per cell) = 0.0
- distance to the lowest polymorph of the same formula (eV/f.u.) = 0.67
- space-group type = P1

Lattice parameters (Å, degrees): 4.6777 4.5982 4.7080 103.06 100.12 118.84
Atoms (fractional coordinates):
B (0.0767, 0.7519, 0.1453)
B (0.3438, 0.3703, 0.1574)
B (0.3792, 0.6933, 0.0138)
B (0.2083, 0.5438, 0.5780)
B (0.7961, 0.1257, 0.4973)
B (0.6470, 0.3020, 0.9767)
C (0.1504, 0.8375, 0.5097)
C (0.5184, 0.4976, 0.5175)
C (0.7430, 0.0639, 0.1206)
C (0.5254, 0.2058, 0.6143)
C (0.9882, 0.9931, 0.9863)
C (0.8735, 0.8649, 0.6330)

***

Material: BC
Method: DFT, PBE
State: relaxed

- M_tot (μB per cell) = 0.0
- distance to the lowest polymorph of the same formula (eV/f.u.) = 0.23
- space-group type = Pm

Lattice parameters (Å, degrees): 2.6413 4.4279 9.0868 95.78 90.00 90.00
Atoms (fractional coordinates):
B (0.0000, 0.2736, 0.1887)
B (0.0000, 0.7791, 0.9473)
B (0.5000, 0.5986, 0.0172)
B (0.0000, 0.5387, 0.4283)
B (0.5000, 0.0356, 0.3899)
B (0.5000, 0.1646, 0.9331)
C (0.5000, 0.3221, 0.1061)
C (0.5000, 0.7145, 0.4661)
C (0.0000, 0.1934, 0.3554)
C (0.0000, 0.0565, 0.8526)
C (0.0000, 0.9434, 0.6934)
C (0.5000, 0.8798, 0.6219)

***

Material: BC
Method: DFT, PBE
State: relaxed

- M_tot (μB per cell) = 0.0
- distance to the lowest polymorph of the same formula (eV/f.u.) = 0.59
- space-group type = Imm2

Lattice parameters (Å, degrees): 6.9694 6.9694 6.9694 158.85 146.18 40.24
Atoms (fractional coordinates):
B (0.0400, 0.9966, 0.0433)
B (0.7282, 0.4924, 0.2358)
B (0.2467, 0.2034, 0.0433)
B (0.9433, 0.7076, 0.2358)
B (0.5357, 0.6000, 0.9357)
C (0.3811, 0.3956, 0.9855)
C (0.1616, 0.8924, 0.2692)
C (0.3467, 0.1000, 0.2467)
C (0.7899, 0.8044, 0.9855)
C (0.5768, 0.3076, 0.2692)

***

Material: BC
Method: DFT, PBE
State: relaxed

- M_tot (μB per cell) = 0.0
- distance to the lowest polymorph of the same formula (eV/f.u.) = 0.45
- space-group type = Cm

Lattice parameters (Å, degrees): 6.3934 6.3934 5.5237 95.15 95.15 23.97
Atoms (fractional coordinates):
B (0.8965, 0.8965, 0.0788)
B (0.2379, 0.2379, 0.2630)
B (0.0248, 0.0248, 0.6096)
B (0.6486, 0.6486, 0.3245)
B (0.3569, 0.3569, 0.7834)
B (0.6630, 0.6630, 0.8206)
C (0.0168, 0.0168, 0.0251)
C (0.3301, 0.3301, 0.1050)
C (0.9248, 0.9248, 0.7657)
C (0.5849, 0.5849, 0.5607)
C (0.2376, 0.2376, 0.8562)
C (0.5781, 0.5781, 0.0573)

***

Material: B7C5
Method: DFT, PBE
State: relaxed

- M_tot (μB per cell) = 0.0
- distance to the lowest polymorph of the same formula (eV/f.u.) = 3.46
- space-group type = Pm

Lattice parameters (Å, degrees): 2.5271 4.7992 6.8851 96.44 90.00 90.00
Atoms (fractional coordinates):
B (0.5000, 0.8263, 0.3706)
B (0.5000, 0.5064, 0.2114)
B (0.0000, 0.7091, 0.6806)
B (0.0000, 0.3254, 0.6057)
B (0.0000, 0.3721, 0.3619)
B (0.0000, 0.9924, 0.2287)
B (0.0000, 0.9830, 0.9792)
C (0.5000, 0.4832, 0.9790)
C (0.5000, 0.1679, 0.8989)
C (0.0000, 0.6194, 0.9031)
C (0.5000, 0.1570, 0.6843)
C (0.5000, 0.8578, 0.5965)

***

Ordered final energy results: -7.5448, -7.4673, -7.6862, -7.5070, -7.5752, -7.2858; unit eV per atom.